A relaxed structure of Be2RhW. Source: the Alexandria database, functional PBE.

Cell: 2.799 3.947 4.508 Å, 90.00 90.00 90.00°
Space group Pmmm (No. 47)
Unique sites:
Be: 0.000 0.000 0.000 x1
Be: 0.500 0.000 0.500 x1
Rh: 0.000 0.500 0.500 x1
W: 0.500 0.500 0.000 x1

Computed properties:
final energy	-6.849	eV per atom
D(E_F)	2.212	states/eV/f.u.